Material: PuSc4Hg5
Method: DFT, PBE
State: relaxed

The structure belongs to space group P4/mmm (No. 123); the cell edges are 3.4036, 3.4036 and 19.4448 Å and the angles 90.00°, 90.00° and 90.00°. Symmetry generates all atoms from Pu at (0.0000, 0.0000, 0.0000), Sc at (0.0000, 0.0000, 0.2106), Sc at (0.0000, 0.0000, 0.4032), Hg at (0.5000, 0.5000, 0.1173), Hg at (0.5000, 0.5000, 0.3064) and Hg at (0.5000, 0.5000, 0.5000).

Its formation energy is -0.351 eV per atom. The density of states at the Fermi level is 15.42 states/eV/cell.